(1)
Here is a relaxed HfTlCl3 crystal from Alexandria. Energies are from GGA-PBEsol.

a = 5.367 Å, b = 5.367 Å, c = 5.367 Å
α = 90.00°, β = 90.00°, γ = 90.00°
Positions (direct):
Hf  0.000  0.000  0.000
Tl  0.500  0.500  0.500
Cl  0.000  0.500  0.500
Cl  0.500  0.000  0.500
Cl  0.500  0.500  0.000

Summary:
**Formation energy from raw total energies**: 0.3784 eV per atom
**Energy**: -3.4530 eV/atom
**DOS(E_F)**: 7.3 states/eV/cell

(2)
Here is a relaxed HfWCl2 crystal from Alexandria. Energies are from GGA-PBEsol.

a = 8.925 Å, b = 8.925 Å, c = 8.925 Å
α = 19.49°, β = 19.49°, γ = 19.49°
Positions (direct):
Hf  0.000  0.000  0.000
W  0.500  0.500  0.500
Cl  0.098  0.098  0.098
Cl  0.902  0.902  0.902

Summary:
**Formation energy from raw total energies**: 0.1474 eV per atom
**Energy**: -6.9342 eV/atom
**DOS(E_F)**: 3.2 states/eV/cell

(3)
Here is a relaxed YHf3Cl crystal from Alexandria. Energies are from GGA-PBEsol.

a = 4.807 Å, b = 4.807 Å, c = 4.807 Å
α = 90.00°, β = 90.00°, γ = 90.00°
Positions (direct):
Y  0.000  0.000  0.000
Hf  0.000  0.500  0.500
Hf  0.500  0.000  0.500
Hf  0.500  0.500  0.000
Cl  0.500  0.500  0.500

Summary:
**ΔE to the lowest computed polymorph**: 0 meV per atom
**Formation energy from raw total energies**: -0.0951 eV per atom
**Energy**: -8.1630 eV/atom
**DOS(E_F)**: 5.6 states/eV/cell